Ag2S2Cl3 | Alexandria | PBE-GGA | relaxed; E_form (uncorrected) = -0.202 eV/atom; spin magnetization = 0.00 μB per formula unit
1.0
3.840 0.000 0.000
1.728 3.480 0.000
1.469 1.298 11.862
Ag S Cl
2 2 3
Direct
0.241 0.305 0.143
0.759 0.695 0.857
0.106 0.104 0.546
0.894 0.896 0.454
0.000 0.000 0.000
0.468 0.385 0.737
0.532 0.615 0.263